Entry 1:
Cs2YHg | PBE | optimized geometry

Output
energy above the lowest structure with this stoichiometry	0	meV per atom
symmetry	I-42d (122)

Geometry as POSCAR:
```
Cs2YHg
1.0
4.644 -8.867 1.756
-8.333 5.640 1.425
-2.013 -2.023 -9.754
Cs Y Hg
4 2 2
Direct
0.625 0.982 0.857
0.125 0.768 0.143
0.018 0.875 0.643
0.232 0.375 0.357
0.500 0.500 0.000
0.750 0.250 0.500
0.000 0.000 0.000
0.250 0.750 0.500
```


Entry 2:
MgTiZnGa | PBE | optimized geometry

Output
energy above the lowest structure with this stoichiometry	0	meV per atom
symmetry	Pmmm (47)

Geometry as POSCAR:
```
MgTiZnGa
1.0
3.833 0.000 0.000
0.000 4.053 0.000
0.000 0.000 4.220
Mg Ti Zn Ga
1 1 1 1
Direct
0.500 0.500 0.000
0.500 0.000 0.500
0.000 0.000 0.000
0.000 0.500 0.500
```


Entry 3:
Pm4CoSiBr2 | PBE | optimized geometry

Output
symmetry	P2/m (10)
E_form (uncorrected)	-849	meV per atom

Geometry as POSCAR:
```
Pm4CoSiBr2
1.0
-2.352 0.387 -3.278
-4.999 -4.474 3.059
-1.852 7.264 2.187
Pm Co Si Br
4 1 1 2
Direct
0.500 0.218 0.195
0.500 0.782 0.805
0.000 0.247 0.800
0.000 0.753 0.200
0.000 0.000 0.000
0.500 0.500 0.000
0.500 0.000 0.500
0.000 0.500 0.500
```


Entry 4:
YScFe2Pb | PBE | optimized geometry

Output
symmetry	P4/mmm (123)
total energy	-27.33	eV per cell

Geometry as POSCAR:
```
YScFe2Pb
1.0
-1.403 2.263 3.736
-0.264 -4.874 2.854
4.363 0.534 1.315
Pb Y Sc Fe
1 1 1 2
Direct
0.000 0.500 0.000
0.000 0.000 0.000
0.500 0.500 0.500
0.000 0.000 0.500
0.500 0.000 0.000
```


Entry 5:
Zr3Si | PBE | optimized geometry

Output
symmetry	Pmm2 (25)
E_form (uncorrected)	-220	meV per atom

Geometry as POSCAR:
```
Zr3Si
1.0
3.170 0.000 0.000
0.000 4.883 0.000
0.000 0.000 5.292
Si Zr
1 3
Direct
0.000 0.000 0.991
0.500 0.000 0.477
0.500 0.500 0.862
0.000 0.500 0.336
```


Entry 6:
Ac5Ag4Sn | PBE | optimized geometry

Output
symmetry	P4/mmm (123)
total energy	-39.23	eV per cell

Geometry as POSCAR:
```
Ac5Ag4Sn
1.0
-3.593 1.526 -0.758
-1.575 -3.649 0.121
-3.274 2.068 19.686
Ac Ag Sn
5 4 1
Direct
0.500 0.500 0.104
0.500 0.500 0.303
0.500 0.500 0.500
0.500 0.500 0.697
0.500 0.500 0.896
0.000 0.000 0.207
0.000 0.000 0.402
0.000 0.000 0.598
0.000 0.000 0.793
0.000 0.000 0.000
```


Entry 7:
Nd6AgIr2 | PBE | optimized geometry

Output
symmetry	C2/m (12)
total energy	-52.35	eV per cell

Geometry as POSCAR:
```
Nd6AgIr2
1.0
-4.361 -1.800 -2.094
4.712 -3.313 -0.604
-1.230 -5.578 7.357
Nd Ag Ir
6 1 2
Direct
0.960 0.921 0.842
0.714 0.428 0.165
0.286 0.572 0.835
0.655 0.309 0.604
0.345 0.691 0.396
0.040 0.079 0.158
0.000 0.000 0.500
0.619 0.237 0.898
0.381 0.763 0.102
```


Entry 8:
Pr12Er2Tl | PBE | optimized geometry

Output
symmetry	P4/nbm (125)
total energy	-130.44	eV per cell

Geometry as POSCAR:
```
Pr12Er2Tl
1.0
-0.866 0.581 6.692
-6.707 0.291 -0.893
-1.298 -24.004 1.915
Pr Er Tl
24 4 2
Direct
0.500 0.500 0.800
0.000 0.000 0.800
0.755 0.745 0.907
0.255 0.755 0.907
0.000 0.000 0.327
0.245 0.745 0.093
0.833 0.333 0.566
0.500 0.500 0.327
0.245 0.255 0.907
0.745 0.755 0.093
0.333 0.167 0.566
0.667 0.167 0.434
0.000 0.000 0.673
0.167 0.333 0.434
0.255 0.245 0.093
0.833 0.667 0.434
0.667 0.833 0.566
0.000 0.000 0.200
0.167 0.667 0.566
0.500 0.500 0.673
0.745 0.245 0.907
0.500 0.500 0.200
0.333 0.833 0.434
0.755 0.255 0.093
0.500 0.000 0.249
0.000 0.500 0.249
0.000 0.500 0.751
0.500 0.000 0.751
0.500 0.000 0.000
0.000 0.500 0.000
```


| no. | magnetization (μB/f.u.) |
| --- | --- |
| 1 | 0.00 |
| 2 | 0.00 |
| 3 | 0.00 |
| 4 | 4.22 |
| 5 | 0.00 |
| 6 | 0.00 |
| 7 | 0.00 |
| 8 | 0.00 |